(1)
Computed, not measured: an optimized crystal structure of PmNd2Ho7 at the GGA-PBE level of DFT.

Results
SG: Cmmm, No. 65
Spin magnetization (μB/atom): 0.00
Mass density (g cm⁻³): 8.0
Crystal system: orthorhombic
Energy relative to the elements (eV/atom): 0.16
E_tot (Ry per atom): -0.3285
Offset from the most stable computed form (meV per atom): 145

Lattice parameters (Å, degrees): 14.807 14.807 3.514 90.00 90.00 154.62
Positions (direct):
Pm 0.000 0.000 0.000
Nd 0.292 0.708 0.500
Nd 0.708 0.292 0.500
Ho 0.148 0.346 0.500
Ho 0.185 0.815 0.000
Ho 0.346 0.148 0.500
Ho 0.500 0.500 0.500
Ho 0.654 0.852 0.500
Ho 0.815 0.185 0.000
Ho 0.852 0.654 0.500

(2)
Computed, not measured: an optimized crystal structure of PmNd3Ho3 at the GGA-PBE level of DFT.

Results
SG: R-3, No. 148
Spin magnetization (μB/atom): 0.00
Mass density (g cm⁻³): 7.3
Crystal system: trigonal
Energy relative to the elements (eV/atom): 0.20
E_tot (Ry per atom): -0.3298
Offset from the most stable computed form (meV per atom): 172

Lattice parameters (Å, degrees): 8.937 8.937 8.937 58.47 58.47 58.47
Positions (direct):
Pm 0.156 0.156 0.156
Pm 0.844 0.844 0.844
Nd 0.066 0.571 0.219
Nd 0.219 0.066 0.571
Nd 0.429 0.781 0.934
Nd 0.571 0.219 0.066
Nd 0.781 0.934 0.429
Nd 0.934 0.429 0.781
Ho 0.215 0.673 0.437
Ho 0.327 0.563 0.785
Ho 0.437 0.215 0.673
Ho 0.563 0.785 0.327
Ho 0.673 0.437 0.215
Ho 0.785 0.327 0.563

(3)
Computed, not measured: an optimized crystal structure of Pm2NdHo7 at the GGA-PBE level of DFT.

Results
SG: C2/m, No. 12
Spin magnetization (μB/atom): 0.00
Mass density (g cm⁻³): 8.2
Crystal system: monoclinic
Energy relative to the elements (eV/atom): 0.05
E_tot (Ry per atom): -0.3367
Offset from the most stable computed form (meV per atom): 0

Lattice parameters (Å, degrees): 9.478 9.478 7.041 111.76 111.76 33.46
Positions (direct):
Pm 0.199 0.199 0.199
Pm 0.801 0.801 0.801
Nd 0.000 0.000 0.500
Ho 0.000 0.000 0.000
Ho 0.200 0.200 0.701
Ho 0.392 0.392 0.141
Ho 0.392 0.392 0.643
Ho 0.608 0.608 0.357
Ho 0.608 0.608 0.859
Ho 0.800 0.800 0.299

(4)
Computed, not measured: an optimized crystal structure of Pm2NdHo5 at the GGA-PBE level of DFT.

Results
SG: C2/c, No. 15
Spin magnetization (μB/atom): 0.00
Mass density (g cm⁻³): 8.0
Crystal system: monoclinic
Energy relative to the elements (eV/atom): 0.17
E_tot (Ry per atom): -0.3287
Offset from the most stable computed form (meV per atom): 154

Lattice parameters (Å, degrees): 9.553 9.553 6.491 96.64 96.64 62.54
Positions (direct):
Pm 0.170 0.677 0.886
Pm 0.323 0.830 0.614
Pm 0.677 0.170 0.386
Pm 0.830 0.323 0.114
Nd 0.000 0.500 0.000
Nd 0.500 0.000 0.500
Ho 0.010 0.188 0.642
Ho 0.188 0.010 0.142
Ho 0.214 0.394 0.479
Ho 0.394 0.214 0.979
Ho 0.443 0.557 0.250
Ho 0.557 0.443 0.750
Ho 0.606 0.786 0.021
Ho 0.786 0.606 0.521
Ho 0.812 0.990 0.858
Ho 0.990 0.812 0.358

(5)
Computed, not measured: an optimized crystal structure of Pm3Nd8Ho at the GGA-PBE level of DFT.

Results
SG: Immm, No. 71
Spin magnetization (μB/atom): 0.00
Mass density (g cm⁻³): 6.5
Crystal system: orthorhombic
Energy relative to the elements (eV/atom): 0.30
E_tot (Ry per atom): -0.3267

Lattice parameters (Å, degrees): 8.829 8.829 8.829 135.55 99.52 96.93
Positions (direct):
Pm 0.000 0.000 0.000
Pm 0.256 0.756 0.500
Pm 0.744 0.244 0.500
Nd 0.087 0.251 0.836
Nd 0.259 0.243 0.501
Nd 0.259 0.757 0.016
Nd 0.415 0.251 0.164
Nd 0.585 0.749 0.836
Nd 0.741 0.243 0.984
Nd 0.741 0.757 0.499
Nd 0.913 0.749 0.164
Ho 0.500 0.500 0.000

(6)
Computed, not measured: an optimized crystal structure of Pm8Nd2Ho3 at the GGA-PBE level of DFT.

Results
SG: P-1, No. 2
Spin magnetization (μB/atom): 0.00
Mass density (g cm⁻³): 7.4
Crystal system: triclinic
Energy relative to the elements (eV/atom): 0.02
E_tot (Ry per atom): -0.3452
Offset from the most stable computed form (meV per atom): 0

Lattice parameters (Å, degrees): 6.276 6.282 11.472 89.97 79.48 80.40
Positions (direct):
Pm 0.039 0.079 0.349
Pm 0.193 0.382 0.727
Pm 0.346 0.692 0.118
Pm 0.423 0.844 0.804
Pm 0.577 0.156 0.196
Pm 0.654 0.308 0.882
Pm 0.807 0.618 0.273
Pm 0.961 0.921 0.651
Nd 0.116 0.231 0.039
Nd 0.884 0.769 0.961
Ho 0.270 0.539 0.425
Ho 0.500 0.000 0.500
Ho 0.730 0.461 0.575

(7)
Computed, not measured: an optimized crystal structure of Pm2NdHo3 at the GGA-PBE level of DFT.

Results
SG: Cmc2_1, No. 36
Spin magnetization (μB/atom): 0.00
Mass density (g cm⁻³): 7.7
Crystal system: orthorhombic
Energy relative to the elements (eV/atom): 0.21
E_tot (Ry per atom): -0.3274
Offset from the most stable computed form (meV per atom): 91

Lattice parameters (Å, degrees): 8.145 8.145 6.403 90.00 90.00 108.48
Positions (direct):
Pm 0.123 0.239 0.000
Pm 0.239 0.123 0.500
Pm 0.761 0.877 0.000
Pm 0.877 0.761 0.500
Nd 0.325 0.675 0.276
Nd 0.675 0.325 0.776
Ho 0.013 0.623 0.956
Ho 0.377 0.987 0.956
Ho 0.417 0.583 0.751
Ho 0.583 0.417 0.251
Ho 0.623 0.013 0.456
Ho 0.987 0.377 0.456

(8)
Computed, not measured: an optimized crystal structure of Pm3Nd4Ho5 at the GGA-PBE level of DFT.

Results
SG: P-1, No. 2
Spin magnetization (μB/atom): 0.00
Mass density (g cm⁻³): 7.7
Crystal system: triclinic
Energy relative to the elements (eV/atom): 0.02
E_tot (Ry per atom): -0.3431
Offset from the most stable computed form (meV per atom): 0

Lattice parameters (Å, degrees): 6.251 7.210 8.835 90.09 90.07 90.08
Positions (direct):
Pm 0.000 0.000 0.000
Pm 0.168 0.751 0.668
Pm 0.832 0.249 0.332
Nd 0.168 0.249 0.668
Nd 0.332 0.500 0.330
Nd 0.668 0.500 0.670
Nd 0.832 0.751 0.332
Ho 0.000 0.500 0.000
Ho 0.334 0.000 0.331
Ho 0.500 0.249 0.000
Ho 0.500 0.751 0.000
Ho 0.666 0.000 0.669

(9)
Computed, not measured: an optimized crystal structure of Pm3NdHo at the GGA-PBE level of DFT.

Results
SG: C2/m, No. 12
Spin magnetization (μB/atom): 0.00
Mass density (g cm⁻³): 7.2
Crystal system: monoclinic
Energy relative to the elements (eV/atom): 0.19
E_tot (Ry per atom): -0.3328
Offset from the most stable computed form (meV per atom): 0

Lattice parameters (Å, degrees): 9.436 9.436 6.089 108.67 108.67 42.44
Positions (direct):
Pm 0.080 0.613 0.597
Pm 0.273 0.273 0.024
Pm 0.387 0.920 0.403
Pm 0.613 0.080 0.597
Pm 0.727 0.727 0.976
Pm 0.920 0.387 0.403
Nd 0.500 0.500 0.000
Nd 0.500 0.500 0.500
Ho 0.051 0.051 0.801
Ho 0.949 0.949 0.199

(10)
Computed, not measured: an optimized crystal structure of Pm6Nd12Ho at the GGA-PBE level of DFT.

Results
SG: R-3m, No. 166
Spin magnetization (μB/atom): 0.00
Mass density (g cm⁻³): 6.7
Crystal system: trigonal
Energy relative to the elements (eV/atom): 0.12
E_tot (Ry per atom): -0.3405
Offset from the most stable computed form (meV per atom): 0

Lattice parameters (Å, degrees): 8.891 8.891 8.891 97.70 97.70 97.70
Positions (direct):
Pm 0.094 0.362 0.362
Pm 0.362 0.094 0.362
Pm 0.362 0.362 0.094
Pm 0.638 0.638 0.906
Pm 0.638 0.906 0.638
Pm 0.906 0.638 0.638
Nd 0.084 0.084 0.670
Nd 0.084 0.670 0.084
Nd 0.237 0.500 0.763
Nd 0.237 0.763 0.500
Nd 0.330 0.916 0.916
Nd 0.500 0.237 0.763
Nd 0.500 0.763 0.237
Nd 0.670 0.084 0.084
Nd 0.763 0.237 0.500
Nd 0.763 0.500 0.237
Nd 0.916 0.330 0.916
Nd 0.916 0.916 0.330
Ho 0.500 0.500 0.500

(11)
Computed, not measured: an optimized crystal structure of Pm8Nd3Ho at the GGA-PBE level of DFT.

Results
SG: I-42m, No. 121
Spin magnetization (μB/atom): 0.00
Mass density (g cm⁻³): 6.5
Crystal system: tetragonal
Energy relative to the elements (eV/atom): 0.56
E_tot (Ry per atom): -0.3072

Lattice parameters (Å, degrees): 8.512 8.512 8.512 117.46 117.46 94.46
Positions (direct):
Pm 0.128 0.128 0.752
Pm 0.247 0.742 0.000
Pm 0.258 0.258 0.505
Pm 0.376 0.376 0.248
Pm 0.624 0.872 0.000
Pm 0.742 0.247 0.000
Pm 0.753 0.753 0.495
Pm 0.872 0.624 0.000
Nd 0.000 0.000 0.000
Nd 0.250 0.750 0.500
Nd 0.750 0.250 0.500
Ho 0.500 0.500 0.000

(12)
Computed, not measured: an optimized crystal structure of PmNd5Ho4 at the GGA-PBE level of DFT.

Results
SG: C2/m, No. 12
Spin magnetization (μB/atom): 0.00
Mass density (g cm⁻³): 7.3
Crystal system: monoclinic
Energy relative to the elements (eV/atom): 0.15
E_tot (Ry per atom): -0.3338
Offset from the most stable computed form (meV per atom): 133

Lattice parameters (Å, degrees): 9.315 9.315 10.569 96.19 96.19 22.26
Positions (direct):
Pm 0.000 0.000 0.000
Nd 0.000 0.000 0.500
Nd 0.311 0.311 0.402
Nd 0.358 0.358 0.769
Nd 0.642 0.642 0.231
Nd 0.689 0.689 0.598
Ho 0.183 0.183 0.912
Ho 0.454 0.454 0.239
Ho 0.546 0.546 0.761
Ho 0.817 0.817 0.088

Q: mass density of number 11 (Pm8Nd3Ho)?
A: 6.5 g cm⁻³